Entry 1:
# K2NdZrTe4

An optimized crystal structure of K2NdZrTe4 (GGA-PBE, Alexandria via LeMat-Bulk).

Output
ΔE_f (raw) = -1.161 eV per atom

Cell and atoms, written as POSCAR:
```
K2NdZrTe4
1.0
-2.8032 -2.1441 2.5753
4.8457 -5.9168 0.3483
2.0401 5.2857 6.6213
K Nd Zr Te
2 1 1 4
Cartesian
-0.3815 1.5708 4.5983 K
3.4429 -0.3156 3.4848 K
0.0000 0.0000 0.0000 Nd
1.0213 -4.0305 1.4618 Zr
0.2732 -1.4545 2.7922 Te
3.8095 -1.3208 6.7527 Te
2.9863 2.5340 5.3602 Te
3.8996 -3.1652 1.6094 Te
```

Entry 2:
# KBaLa2

An optimized crystal structure of KBaLa2 (GGA-PBE, Alexandria via LeMat-Bulk).

Output
energy above the lowest structure with this stoichiometry = 15.8 kJ/mol of atoms

Cell and atoms, written as POSCAR:
```
KBaLa2
1.0
6.8805 0.0116 -0.0052
5.8128 3.6815 -0.0052
1.1416 0.3321 7.4566
Ba K La
1 1 2
Cartesian
6.8243 1.9855 3.7714 Ba
3.5291 1.0268 1.8706 K
1.3304 0.3871 7.1603 La
10.2102 2.9706 5.8237 La
```

Entry 3:
# CsPaIO5

An optimized crystal structure of CsPaIO5 (GGA-PBE, Alexandria via LeMat-Bulk).

Output
ΔE_f (raw) = -1.941 eV per atom

Cell and atoms, written as POSCAR:
```
CsPaIO5
1.0
-1.3916 6.5832 -2.8192
0.3812 -4.2720 -5.9015
-5.0569 -2.5488 6.0676
Cs Pa I O
2 2 2 10
Cartesian
-1.4703 -1.3134 -3.3636 Cs
-4.5971 1.0759 0.7105 Cs
-2.5285 -1.2744 3.0338 Pa
0.0000 0.0000 0.0000 Pa
-2.1190 2.6589 -2.2356 I
-3.9483 -2.8965 -0.4174 I
-0.9828 -4.2981 -4.2110 O
-5.0845 4.0605 1.5580 O
-1.9169 4.6110 -3.2833 O
-4.1505 -4.8486 0.6303 O
-2.7995 3.6358 -0.3563 O
-3.2678 -3.8734 -2.2968 O
-2.1260 1.7067 -3.9479 O
-3.9413 -1.9443 1.2949 O
-1.6880 1.0151 -1.2605 O
-4.3793 -1.2527 -1.3925 O
```

Entry 4:
# Tm3CoHg

An optimized crystal structure of Tm3CoHg (GGA-PBE, Alexandria via LeMat-Bulk).

Output
energy above the lowest structure with this stoichiometry = 1.8 kJ/mol of atoms

Cell and atoms, written as POSCAR:
```
Tm3CoHg
1.0
5.1542 -0.3012 2.4017
1.6172 4.9032 2.4017
0.0677 0.0460 9.2016
Tm Co Hg
6 2 2
Cartesian
2.1017 1.4283 9.7068 Tm
4.7374 3.2196 4.2981 Tm
0.5322 0.3617 7.0577 Tm
6.3068 4.2862 6.9472 Tm
4.7826 3.2503 10.0608 Tm
2.0565 1.3976 3.9441 Tm
2.5038 3.5986 2.4017 Co
4.2676 1.0033 2.4017 Co
4.1965 1.1807 7.0025 Hg
2.6425 3.4673 7.0025 Hg
```